(1)
Compound: Cs4PmU3S12
Source: Alexandria
Functional: PBE
Structure: relaxed

Unit cell a=10.576 b=10.576 c=10.576 alpha=90.00 beta=90.00 gamma=90.00
Space group Im-3m (No. 229)
Symmetry-distinct sites (fractional):
Cs 0.250 0.250 0.250 x8
Pm 0.000 0.000 0.000 x2
U 0.000 0.000 0.500 x6
S 0.000 0.000 0.264 x12
S 0.000 0.250 0.500 x12

Properties
Uncorrected formation energy   -1.391 eV/atom
N(E_F)   0.4366 states/eV per atom


(2)
Compound: Cs3PmU2S9
Source: Alexandria
Functional: PBE
Structure: relaxed

Unit cell a=7.4887 b=7.4887 c=9.2050 alpha=90.00 beta=90.00 gamma=120.00
Space group P-3m1 (No. 164)
Symmetry-distinct sites (fractional):
Cs 0.0000 0.0000 0.0000 x1
Cs 0.3333 0.6667 0.6635 x2
Pm 0.0000 0.0000 0.5000 x1
U 0.3333 0.6667 0.1635 x2
S 0.0000 0.5000 0.0000 x3
S 0.1746 0.3491 0.3195 x6

Properties
Uncorrected formation energy   -1.399 eV/atom


(3)
Compound: Cs2PmUS4
Source: Alexandria
Functional: PBE
Structure: relaxed

Unit cell a=7.212 b=4.168 c=8.451 alpha=90.00 beta=106.55 gamma=90.00
Space group P2/m (No. 10)
Symmetry-distinct sites (fractional):
Cs 0.000 0.000 0.000 x1
Cs 0.500 0.500 0.000 x1
Pm 0.000 0.500 0.500 x1
U 0.500 0.000 0.500 x1
S 0.235 0.000 0.685 x2
S 0.279 0.500 0.318 x2

Properties
Uncorrected formation energy   -1.563 eV/atom
N(E_F)   0.8409 states/eV per atom


(4)
Compound: Cs3PmU3S8
Source: Alexandria
Functional: PBE
Structure: relaxed

Unit cell a=8.1723 b=8.1723 c=24.6107 alpha=90.00 beta=90.00 gamma=120.00
Space group R-3m (No. 166, hexagonal axes)
Symmetry-distinct sites (fractional):
Cs 0.0000 0.5000 0.0000 x9
Pm 0.0000 0.0000 0.5000 x3
U 0.0000 0.5000 0.5000 x9
S 0.0000 0.0000 0.2267 x6
S 0.0085 0.5042 0.7733 x18

Properties
Uncorrected formation energy   -1.506 eV/atom
N(E_F)   1.0061 states/eV per atom